(1)
# ScZnTe3

A PBEsol-optimized structure of ScZnTe3 (SCAN, Alexandria).

The structure in POSCAR format:
```
ScZnTe3
1.0
5.185 0.000 0.000
0.000 5.185 0.000
0.000 0.000 5.185
Sc Zn Te
1 1 3
direct
0.000 0.000 0.000 Sc
0.500 0.500 0.500 Zn
0.000 0.500 0.500 Te
0.500 0.000 0.500 Te
0.500 0.500 0.000 Te
```

Summary:
Its spin magnetization is 0.00 μB per cell. The calculation puts the energy relative to the elements, uncorrected at 0.48 eV/f.u. As for the density of states at the Fermi level: 0.673 states/eV/atom.

(2)
# ZrSc3Te

A PBEsol-optimized structure of ZrSc3Te (SCAN, Alexandria).

The structure in POSCAR format:
```
ZrSc3Te
1.0
5.105 0.000 0.000
0.000 5.105 0.000
0.000 0.000 5.105
Zr Sc Te
1 3 1
direct
0.000 0.000 0.000 Zr
0.000 0.000 0.500 Sc
0.000 0.500 0.000 Sc
0.500 0.000 0.000 Sc
0.500 0.500 0.500 Te
```

Summary:
Its spin magnetization is 0.00 μB per cell. The calculation puts the energy relative to the elements, uncorrected at 2.94 eV/f.u. As for the density of states at the Fermi level: 0.927 states/eV/atom.

(3)
# ScTiZn2

A PBEsol-optimized structure of ScTiZn2 (SCAN, Alexandria).

The structure in POSCAR format:
```
ScTiZn2
1.0
0.000 3.200 3.200
3.200 0.000 3.200
3.200 3.200 0.000
Sc Ti Zn
1 1 2
direct
0.000 0.000 0.000 Sc
0.500 0.500 0.500 Ti
0.250 0.250 0.250 Zn
0.750 0.750 0.750 Zn
```

Summary:
Its spin magnetization is 1.02 μB per cell. As for the density of states at the Fermi level: 0.533 states/eV/atom. The value obtained for the formation energy from the elements is -343 meV per atom.

(4)
# Sc5Tl3

A PBEsol-optimized structure of Sc5Tl3 (SCAN, Alexandria).

The structure in POSCAR format:
```
Sc5Tl3
1.0
3.722 -5.019 0.000
3.722 5.019 0.000
0.000 0.000 4.825
Sc Tl
5 3
direct
0.000 0.000 0.000 Sc
0.000 0.500 0.000 Sc
0.283 0.283 0.500 Sc
0.500 0.000 0.000 Sc
0.717 0.717 0.500 Sc
0.209 0.791 0.500 Tl
0.500 0.500 0.000 Tl
0.791 0.209 0.500 Tl
```

Summary:
Its spin magnetization is 1.87 μB per cell. As for the density of states at the Fermi level: 1.130 states/eV/atom. The value obtained for the formation energy from the elements is -422 meV per atom.

- Which value of spin magnetization does entry 1 give?
  0.00 μB per cell